Material: LiReTeI2
Method: DFT, GGA-PBE
State: relaxed

Symmetry: No. 123
Raw total energy: -3.06 eV per atom
M_tot: 4.6 μB per formula unit
Energy above the most stable polymorph in this dataset: 721 meV per atom
Formation energy without anion corrections: 1.06 eV per atom

a b c (Å): 4.9695 4.9695 6.4296
angles (deg): 90.00 90.00 90.00
Closest atoms and distances in Å follow each position.
Positions (direct):
1 Li 0.0000 0.0000 0.0000  4 I 2.48
2 Re 0.5000 0.5000 0.5000  4 Te 3.51
3 Te 0.0000 0.0000 0.5000  2 Li 3.21, 4 Re 3.51
4 I 0.0000 0.5000 0.0000  2 Li 2.48
5 I 0.5000 0.0000 0.0000  2 Li 2.48